Entry 1:
Entry from Alexandria via LeMat-Bulk: ZnCo2Mo after structural relaxation (PBE).

The space group is Pmm2 (No. 25) and the conventional cell measures 2.610, 3.741 and 5.235 Å, with angles of 90.00, 90.00 and 90.00 degrees. The asymmetric unit holds Zn at (0.000, 0.000, 0.000), Co at (0.000, 0.000, 0.476), Co at (0.500, 0.500, 0.220) and Mo at (0.500, 0.500, 0.701).

Its density of states at the Fermi level is 4.041 states/eV/cell. The value obtained for the calculated density is 9.1 Mg/m³. The value obtained for the total energy is -25.79 eV/cell.


Entry 2:
Entry from Alexandria via LeMat-Bulk: PmMg2Hg3 after structural relaxation (PBE).

The space group is I4/mmm (No. 139) and the conventional cell measures 4.477, 4.477 and 30.299 Å, with angles of 90.00, 90.00 and 90.00 degrees. The asymmetric unit holds Pm at (0.000, 0.000, 0.150), Mg at (0.000, 0.000, 0.397), Mg at (0.000, 0.500, 0.250), Hg at (0.000, 0.000, 0.309) and Hg at (0.000, 0.500, 0.047).

Its density of states at the Fermi level is 19.438 states/eV/cell. The value obtained for the calculated density is 8.7 Mg/m³. As for the energy above the lowest structure with this stoichiometry: 143 meV per atom. The value obtained for the total energy is -40.05 eV/cell.


Entry 3:
Entry from Alexandria via LeMat-Bulk: Tl2In6Ge after structural relaxation (PBE).

The space group is C2/m (No. 12) and the conventional cell measures 16.364, 9.435 and 3.213 Å, with angles of 90.00, 92.32 and 90.00 degrees. The asymmetric unit holds Tl at (0.176, 0.000, 0.477), In at (0.000, 0.193, 0.500), In at (0.159, 0.331, 0.006) and Ge at (0.000, 0.500, 0.000).

Its density of states at the Fermi level is 5.954 states/eV/cell. The value obtained for the calculated density is 7.8 Mg/m³. The value obtained for the total energy is -50.43 eV/cell.


Entry 4:
Entry from Alexandria via LeMat-Bulk: Li6Al2Zn after structural relaxation (PBE).

The space group is R-3m (No. 166, hexagonal axes) and the conventional cell measures 7.8302, 7.8302 and 8.0102 Å, with angles of 90.00, 90.00 and 120.00 degrees. The asymmetric unit holds Li at (0.0000, 0.3322, 0.0000), Al at (0.0000, 0.0000, 0.1703) and Zn at (0.0000, 0.0000, 0.5000).

Its density of states at the Fermi level is 12.392 states/eV/cell. The value obtained for the calculated density is 1.9 Mg/m³. As for the energy above the lowest structure with this stoichiometry: 0 meV per atom. The value obtained for the total energy is -64.77 eV/cell.


Entry 5:
Entry from Alexandria via LeMat-Bulk: CrIn2Pb after structural relaxation (PBE).

The space group is Pm (No. 6) and the conventional cell measures 3.585, 4.705 and 6.123 Å, with angles of 90.00, 105.68 and 90.00 degrees. The asymmetric unit holds Cr at (0.000, 0.000, 0.000), In at (0.146, 0.500, 0.294), In at (0.736, 0.000, 0.482) and Pb at (0.428, 0.500, 0.834).

Its density of states at the Fermi level is 2.639 states/eV/cell. The value obtained for the calculated density is 8.2 Mg/m³. The value obtained for the total energy is -17.42 eV/cell.


Entry 6:
Entry from Alexandria via LeMat-Bulk: Zr2IrPb after structural relaxation (PBE).

The space group is P4/mmm (No. 123) and the conventional cell measures 4.377, 4.377 and 4.238 Å, with angles of 90.00, 90.00 and 90.00 degrees. The asymmetric unit holds Zr at (0.000, 0.500, 0.000), Ir at (0.000, 0.000, 0.500) and Pb at (0.500, 0.500, 0.500).

Its density of states at the Fermi level is 3.551 states/eV/cell. The value obtained for the calculated density is 11.9 Mg/m³. The value obtained for the total energy is -30.83 eV/cell.


Entry 7:
Entry from Alexandria via LeMat-Bulk: Cd2CoTc after structural relaxation (PBE).

The space group is I-42d (No. 122) and the conventional cell measures 7.377, 7.377 and 5.379 Å, with angles of 90.00, 90.00 and 90.00 degrees. The asymmetric unit holds Cd at (0.228, 0.250, 0.125), Co at (0.000, 0.000, 0.000) and Tc at (0.000, 0.000, 0.500).

Its density of states at the Fermi level is 16.418 states/eV/cell. The value obtained for the calculated density is 8.7 Mg/m³. As for the energy above the lowest structure with this stoichiometry: 700 meV per atom. The value obtained for the total energy is -63.14 eV/cell.


Entry 8:
Entry from Alexandria via LeMat-Bulk: HoIn4 after structural relaxation (PBE).

The space group is I4/mmm (No. 139) and the conventional cell measures 5.455, 5.455 and 9.664 Å, with angles of 90.00, 90.00 and 90.00 degrees. The asymmetric unit holds Ho at (0.000, 0.000, 0.000), In at (0.000, 0.000, 0.357) and In at (0.000, 0.500, 0.250).

Its density of states at the Fermi level is 6.398 states/eV/cell. The value obtained for the calculated density is 7.2 Mg/m³. As for the energy above the lowest structure with this stoichiometry: 0 meV per atom. The value obtained for the total energy is -30.36 eV/cell.